# K2NaCuF6

K2NaCuF6 at its PBEsol-relaxed geometry (meta-GGA SCAN, the Alexandria database).

**E**: -8.32 eV/atom
**Space-group type**: Fm-3m

a b c (Å): 5.803 5.803 5.803
angles (deg): 60.00 60.00 60.00
Positions (direct):
F1 0.769 0.231 0.769
Na1 0.500 0.500 0.500
F2 0.231 0.769 0.231
F3 0.769 0.769 0.231
F4 0.231 0.231 0.769
K1 0.250 0.250 0.250
F5 0.769 0.231 0.231
K2 0.750 0.750 0.750
Cu1 0.000 0.000 0.000
F6 0.231 0.769 0.769

# KCu3P3O8F6

KCu3P3O8F6 at its PBEsol-relaxed geometry (meta-GGA SCAN, the Alexandria database).

**E**: -9.63 eV/atom
**Space-group type**: C2/c

a b c (Å): 7.678 7.704 10.217
angles (deg): 101.63 112.07 90.00
Positions (direct):
P1 0.503 0.409 0.652
P2 0.872 0.250 0.000
O1 0.992 0.255 0.392
O2 0.639 0.573 0.738
K1 0.320 0.250 0.000
O3 0.967 0.792 0.877
Cu1 0.000 0.500 0.500
P3 0.851 0.091 0.348
F1 0.022 0.573 0.341
F2 0.709 0.097 0.946
O4 0.327 0.439 0.531
O5 0.796 0.061 0.469
F3 0.434 0.361 0.771
F4 0.763 0.403 0.054
O6 0.100 0.073 0.738
O7 0.910 0.292 0.877
F5 0.320 0.073 0.341
O8 0.204 0.939 0.531
Cu2 0.136 0.817 0.327
Cu3 0.864 0.183 0.673
O9 0.361 0.427 0.262
O10 0.673 0.561 0.469
Cu4 0.191 0.317 0.327
F6 0.237 0.597 0.946
F7 0.680 0.927 0.659
O11 0.600 0.245 0.608
O12 0.008 0.745 0.608
O13 0.400 0.755 0.392
Cu5 0.500 0.000 0.500
F8 0.291 0.903 0.054
F9 0.664 0.139 0.229
P4 0.128 0.750 0.000
O14 0.033 0.208 0.123
F10 0.336 0.861 0.771
Cu6 0.809 0.683 0.673
O15 0.900 0.927 0.262
F11 0.566 0.639 0.229
O16 0.090 0.708 0.123
F12 0.978 0.427 0.659
P5 0.497 0.591 0.348
P6 0.149 0.909 0.652
K2 0.680 0.750 0.000

Look up the E of the second one. -9.63 eV/atom